Mn2TcAs: relaxed, PBE.

a b c (Å): 8.138 8.138 8.138
angles (deg): 19.36 19.36 19.36
Element x y z (fractional)
Mn  0.248  0.248  0.248
Mn  0.752  0.752  0.752
Tc  0.000  0.000  0.000
As  0.500  0.500  0.500

Output
- Volume: 52 Å³/cell
- Space group: No. 166
- N(E_F): 4.62 states/eV/f.u.
- Formation enthalpy at 0 K: 0.201 eV per atom
- Crystal system: trigonal

---

Mn2TcAs: relaxed, PBE.

a b c (Å): 4.176 4.176 4.176
angles (deg): 60.00 60.00 60.00
Element x y z (fractional)
Mn  0.000  0.000  0.000
Mn  0.250  0.250  0.250
Tc  0.750  0.750  0.750
As  0.500  0.500  0.500

Output
- Volume: 51 Å³/cell
- Space group: No. 216
- N(E_F): 2.12 states/eV/f.u.
- Formation enthalpy at 0 K: -0.063 eV per atom
- Crystal system: cubic

---

MnTc2As8: relaxed, PBE.

a b c (Å): 9.145 9.145 7.517
angles (deg): 93.82 93.82 19.83
Element x y z (fractional)
Mn  0.000  0.000  0.000
Tc  0.295  0.295  0.246
Tc  0.705  0.705  0.754
As  0.099  0.099  0.796
As  0.183  0.183  0.478
As  0.305  0.305  0.905
As  0.435  0.435  0.791
As  0.565  0.565  0.209
As  0.695  0.695  0.095
As  0.817  0.817  0.522
As  0.901  0.901  0.204

Output
- Volume: 213 Å³/cell
- Space group: No. 12
- N(E_F): 4.97 states/eV/f.u.
- Formation enthalpy at 0 K: -0.053 eV per atom
- Crystal system: monoclinic

---

Mn2TcAs: relaxed, PBE.

a b c (Å): 2.977 2.977 5.906
angles (deg): 90.00 90.00 90.00
Element x y z (fractional)
Mn  0.000  0.000  0.000
Mn  0.500  0.500  0.249
Tc  0.000  0.000  0.508
As  0.500  0.500  0.779

Output
- Volume: 52 Å³/cell
- Space group: No. 99
- N(E_F): 3.74 states/eV/f.u.
- Formation enthalpy at 0 K: 0.040 eV per atom
- Crystal system: tetragonal